Record 1
A plane-wave DFT calculation with PBE was carried out for a relaxed structure of Pa2AsPb.

Unit cell a=7.540 b=7.540 c=7.540 alpha=32.48 beta=32.48 gamma=32.48
Fractional coordinates of all 4 atoms:
Pa 0.240 0.240 0.240
Pa 0.760 0.760 0.760
As 0.500 0.500 0.500
Pb 0.000 0.000 0.000

## Properties
The value obtained for the energy is -7.213 eV per atom. The space-group type is No. 166. For the volume, the calculation gives 109.9 Å³/f.u. The calculation puts the energy relative to the elements at -0.38 eV/atom. Its density of states at the Fermi level is 1.568 states/eV/atom.

***

Record 2
A plane-wave DFT calculation with PBE was carried out for a relaxed structure of PaAs2Rh7Pb2.

Unit cell a=4.007 b=4.007 c=14.207 alpha=94.96 beta=94.96 gamma=89.83
Fractional coordinates of all 12 atoms:
Pa 0.000 0.000 0.000
As 0.425 0.425 0.753
As 0.575 0.575 0.247
Rh 0.044 0.544 0.147
Rh 0.383 0.383 0.580
Rh 0.456 0.956 0.853
Rh 0.500 0.500 0.000
Rh 0.544 0.044 0.147
Rh 0.617 0.617 0.420
Rh 0.956 0.456 0.853
Pb 0.108 0.108 0.393
Pb 0.892 0.892 0.607

## Properties
The value obtained for the energy is -6.891 eV per atom. The space-group type is No. 12. For the volume, the calculation gives 226.4 Å³/f.u. The calculation puts the energy relative to the elements at -0.42 eV/atom. Its density of states at the Fermi level is 0.761 states/eV/atom.

***

Record 3
A plane-wave DFT calculation with PBE was carried out for a relaxed structure of Pa2AsPd.

Unit cell a=4.500 b=4.500 c=4.166 alpha=90.00 beta=90.00 gamma=90.00
Fractional coordinates of all 4 atoms:
Pa 0.000 0.500 0.000
Pa 0.500 0.000 0.000
As 0.000 0.000 0.500
Pd 0.500 0.500 0.500

## Properties
The value obtained for the energy is -7.709 eV per atom. The space-group type is No. 123. For the volume, the calculation gives 84.3 Å³/f.u. The calculation puts the energy relative to the elements at -0.50 eV/atom. Its density of states at the Fermi level is 1.789 states/eV/atom.

***

Record 4
A plane-wave DFT calculation with PBE was carried out for a relaxed structure of PaAs2Pd.

Unit cell a=5.896 b=5.896 c=5.896 alpha=41.90 beta=41.90 gamma=41.90
Fractional coordinates of all 4 atoms:
Pa 0.000 0.000 0.000
As 0.243 0.243 0.243
As 0.757 0.757 0.757
Pd 0.500 0.500 0.500

## Properties
The value obtained for the energy is -6.621 eV per atom. The space-group type is No. 166. For the volume, the calculation gives 82.7 Å³/f.u. The calculation puts the energy relative to the elements at -0.62 eV/atom. Its density of states at the Fermi level is 1.410 states/eV/atom.

***

Record 5
A plane-wave DFT calculation with PBE was carried out for a relaxed structure of PaAs2Pd3.

Unit cell a=7.701 b=7.701 c=7.385 alpha=112.07 beta=112.07 gamma=33.50
Fractional coordinates of all 12 atoms:
Pa 0.148 0.148 0.235
Pa 0.852 0.852 0.765
As 0.207 0.207 0.654
As 0.490 0.490 0.788
As 0.510 0.510 0.212
As 0.793 0.793 0.346
Pd 0.075 0.075 0.812
Pd 0.310 0.310 0.013
Pd 0.389 0.389 0.421
Pd 0.611 0.611 0.579
Pd 0.690 0.690 0.987
Pd 0.925 0.925 0.188

## Properties
The value obtained for the energy is -6.387 eV per atom. The space-group type is No. 12. For the volume, the calculation gives 111.2 Å³/f.u. The calculation puts the energy relative to the elements at -0.66 eV/atom. Its density of states at the Fermi level is 0.464 states/eV/atom.

***

Record 6
A plane-wave DFT calculation with PBE was carried out for a relaxed structure of Pa2As2Pd.

Unit cell a=5.823 b=4.100 c=10.121 alpha=90.00 beta=106.50 gamma=90.00
Fractional coordinates of all 10 atoms:
Pa 0.072 0.250 0.179
Pa 0.297 0.250 0.605
Pa 0.703 0.750 0.395
Pa 0.928 0.750 0.821
As 0.205 0.750 0.393
As 0.433 0.750 0.814
As 0.567 0.250 0.186
As 0.795 0.250 0.607
Pd 0.268 0.250 0.937
Pd 0.732 0.750 0.063

## Properties
The value obtained for the energy is -7.499 eV per atom. The space-group type is No. 11. For the volume, the calculation gives 115.9 Å³/f.u. The calculation puts the energy relative to the elements at -0.80 eV/atom. Its density of states at the Fermi level is 1.072 states/eV/atom.

***

Record 7
A plane-wave DFT calculation with PBE was carried out for a relaxed structure of PaAs2Pd.

Unit cell a=4.795 b=4.795 c=4.795 alpha=60.00 beta=60.00 gamma=60.00
Fractional coordinates of all 4 atoms:
Pa 0.000 0.000 0.000
As 0.250 0.250 0.250
As 0.750 0.750 0.750
Pd 0.500 0.500 0.500

## Properties
The value obtained for the energy is -6.564 eV per atom. The space-group type is No. 225. For the volume, the calculation gives 78.0 Å³/f.u. The calculation puts the energy relative to the elements at -0.57 eV/atom. Its density of states at the Fermi level is 0.946 states/eV/atom.

***

Record 8
A plane-wave DFT calculation with PBE was carried out for a relaxed structure of PaAs2Pd2.

Unit cell a=6.555 b=6.555 c=6.021 alpha=112.23 beta=112.23 gamma=100.41
Fractional coordinates of all 10 atoms:
Pa 0.140 0.860 0.750
Pa 0.860 0.140 0.250
As 0.142 0.858 0.250
As 0.432 0.568 0.750
As 0.568 0.432 0.250
As 0.858 0.142 0.750
Pd 0.180 0.473 0.251
Pd 0.473 0.180 0.751
Pd 0.527 0.820 0.249
Pd 0.820 0.527 0.749

## Properties
The value obtained for the energy is -6.364 eV per atom. The space-group type is No. 15. For the volume, the calculation gives 102.6 Å³/f.u. The calculation puts the energy relative to the elements at -0.53 eV/atom. Its density of states at the Fermi level is 0.636 states/eV/atom.

***

Record 9
A plane-wave DFT calculation with PBE was carried out for a relaxed structure of Pa2AsPd.

Unit cell a=7.657 b=7.657 c=7.657 alpha=29.39 beta=29.39 gamma=29.39
Fractional coordinates of all 4 atoms:
Pa 0.249 0.249 0.249
Pa 0.751 0.751 0.751
As 0.500 0.500 0.500
Pd 0.000 0.000 0.000

## Properties
The value obtained for the energy is -7.788 eV per atom. The space-group type is No. 166. For the volume, the calculation gives 95.7 Å³/f.u. The calculation puts the energy relative to the elements at -0.58 eV/atom. Its density of states at the Fermi level is 1.521 states/eV/atom.

***

Record 10
A plane-wave DFT calculation with PBE was carried out for a relaxed structure of PaAs2Pd.

Unit cell a=4.515 b=4.515 c=3.771 alpha=90.00 beta=90.00 gamma=90.00
Fractional coordinates of all 4 atoms:
Pa 0.000 0.000 0.000
As 0.000 0.500 0.500
As 0.500 0.000 0.500
Pd 0.500 0.500 0.000

## Properties
The value obtained for the energy is -6.756 eV per atom. The space-group type is No. 123. For the volume, the calculation gives 76.9 Å³/f.u. The calculation puts the energy relative to the elements at -0.76 eV/atom. Its density of states at the Fermi level is 0.693 states/eV/atom.

***

Record 11
A plane-wave DFT calculation with PBE was carried out for a relaxed structure of PaAs3Pd5.

Unit cell a=7.012 b=7.012 c=11.993 alpha=90.00 beta=90.00 gamma=146.10
Fractional coordinates of all 18 atoms:
Pa 0.111 0.889 0.750
Pa 0.889 0.111 0.250
As 0.125 0.875 0.250
As 0.391 0.609 0.077
As 0.391 0.609 0.423
As 0.609 0.391 0.577
As 0.609 0.391 0.923
As 0.875 0.125 0.750
Pd 0.000 0.000 0.000
Pd 0.000 0.000 0.500
Pd 0.211 0.789 0.068
Pd 0.211 0.789 0.432
Pd 0.422 0.578 0.635
Pd 0.422 0.578 0.865
Pd 0.578 0.422 0.135
Pd 0.578 0.422 0.365
Pd 0.789 0.211 0.568
Pd 0.789 0.211 0.932

## Properties
The value obtained for the energy is -5.932 eV per atom. The space-group type is No. 63. For the volume, the calculation gives 164.4 Å³/f.u. The calculation puts the energy relative to the elements at -0.44 eV/atom. Its density of states at the Fermi level is 0.748 states/eV/atom.

***

Record 12
A plane-wave DFT calculation with PBE was carried out for a relaxed structure of PaAs3Pd.

Unit cell a=7.655 b=6.075 c=10.814 alpha=90.00 beta=127.12 gamma=90.00
Fractional coordinates of all 20 atoms:
Pa 0.131 0.206 0.184
Pa 0.131 0.294 0.684
Pa 0.869 0.706 0.316
Pa 0.869 0.794 0.816
As 0.090 0.709 0.157
As 0.090 0.791 0.657
As 0.278 0.074 0.988
As 0.278 0.426 0.488
As 0.432 0.003 0.665
As 0.432 0.497 0.165
As 0.568 0.503 0.835
As 0.568 0.997 0.335
As 0.722 0.574 0.512
As 0.722 0.926 0.012
As 0.910 0.209 0.343
As 0.910 0.291 0.843
Pd 0.379 0.697 0.943
Pd 0.379 0.803 0.443
Pd 0.621 0.197 0.557
Pd 0.621 0.303 0.057

## Properties
The value obtained for the energy is -6.256 eV per atom. The space-group type is No. 14. For the volume, the calculation gives 100.3 Å³/f.u. The calculation puts the energy relative to the elements at -0.53 eV/atom. Its density of states at the Fermi level is 0.643 states/eV/atom.

***

Record 13
A plane-wave DFT calculation with PBE was carried out for a relaxed structure of PaAs2Pd5.

Unit cell a=6.341 b=6.341 c=6.341 alpha=142.63 beta=109.84 gamma=82.30
Fractional coordinates of all 8 atoms:
Pa 0.000 0.000 0.000
As 0.242 0.742 0.500
As 0.758 0.258 0.500
Pd 0.159 0.354 0.805
Pd 0.450 0.646 0.805
Pd 0.500 0.000 0.500
Pd 0.550 0.354 0.195
Pd 0.841 0.646 0.195

## Properties
The value obtained for the energy is -6.071 eV per atom. The space-group type is No. 71. For the volume, the calculation gives 141.4 Å³/f.u. The calculation puts the energy relative to the elements at -0.48 eV/atom. Its density of states at the Fermi level is 1.203 states/eV/atom.